Below is a geometry-optimized PmPrTmMg structure, with properties calculated at the PBE level.

POSCAR file:
```
PmPrTmMg
1.0
3.6838 0.0000 0.0000
0.0000 3.6838 0.0000
0.0000 0.0000 9.1429
Pm Tm Mg Pr
1 1 1 1
Cartesian
1.8419 1.8419 7.2868 Pm
1.8419 1.8419 3.1697 Tm
0.0000 0.0000 5.1452 Mg
0.0000 0.0000 0.7155 Pr
```

Summary:
The value obtained for the energy above the lowest structure with this stoichiometry is 0 meV per atom. As for the calculated volume: 124.1 Å³/f.u. As for the symmetry: P4mm. The energy of formation from the pure elements comes out at -0.03 eV/atom. The value obtained for the size of the total moment is 0.00 μB/f.u.